Record 1
Here is crystalline NaHfAl2 at its relaxed geometry from the Alexandria database. Energies are from GGA-PBE.

Unit cell a=6.8247 b=6.8247 c=6.8247 alpha=90.00 beta=90.00 gamma=90.00
Space group Fm-3m (No. 225)
Inequivalent atoms, fractional coordinates:
1 Na 0.0000 0.0000 0.0000 [4 per cell]
2 Hf 0.0000 0.0000 0.5000 [4 per cell]
3 Al 0.2500 0.2500 0.2500 [8 per cell]

Properties
**Formation enthalpy at 0 K**: 0.1567 eV/atom
**Total DFT energy (no corrections)**: -18.13 eV per formula unit

Record 2
Here is crystalline NaHfAl3 at its relaxed geometry from the Alexandria database. Energies are from GGA-PBE.

Unit cell a=5.3257 b=5.3257 c=5.3257 alpha=90.00 beta=90.00 gamma=90.00
Space group Pm-3m (No. 221)
Inequivalent atoms, fractional coordinates:
1 Na 0.0000 0.0000 0.0000 [1 per cell]
2 Hf 0.5000 0.5000 0.5000 [1 per cell]
3 Al 0.0000 0.5000 0.5000 [3 per cell]

Properties
**Formation enthalpy at 0 K**: 0.7035 eV/atom
**Total DFT energy (no corrections)**: -18.98 eV per formula unit

Record 3
Here is crystalline NaHf2Al at its relaxed geometry from the Alexandria database. Energies are from GGA-PBE.

Unit cell a=4.1821 b=4.1821 c=21.3197 alpha=90.00 beta=90.00 gamma=90.00
Space group I-42d (No. 122)
Inequivalent atoms, fractional coordinates:
1 Na 0.0000 0.0000 0.0000 [4 per cell]
2 Hf 0.2330 0.2500 0.6250 [8 per cell]
3 Al 0.0000 0.0000 0.5000 [4 per cell]

Properties
**Formation enthalpy at 0 K**: 0.7192 eV/atom
**Total DFT energy (no corrections)**: -22.09 eV per formula unit

Record 4
Here is crystalline NaHfAl3 at its relaxed geometry from the Alexandria database. Energies are from GGA-PBE.

Unit cell a=4.7492 b=4.7492 c=4.7492 alpha=90.00 beta=90.00 gamma=90.00
Space group Pm-3m (No. 221)
Inequivalent atoms, fractional coordinates:
1 Na 0.0000 0.0000 0.0000 [1 per cell]
2 Hf 0.5000 0.5000 0.5000 [1 per cell]
3 Al 0.0000 0.0000 0.5000 [3 per cell]

Properties
**Formation enthalpy at 0 K**: 1.0921 eV/atom
**Total DFT energy (no corrections)**: -17.04 eV per formula unit